Computed, not measured: an optimized crystal structure of VAs2HO6 at the PBE with a Hubbard U level of DFT.

D(E_F) = 0.000 states/eV per cell
Calculated total energy = -6.35 eV per atom

CIF file:
```
data_VAs2HO6
_chemical_formula_sum 'V2 As4 H2 O12'
_space_group_name_H-M_alt 'P 1'
_space_group_IT_number 1
_cell_length_a 4.8286
_cell_length_b 9.3528
_cell_length_c 9.3528
_cell_angle_alpha 69.57
_cell_angle_beta 65.29
_cell_angle_gamma 65.29
loop_
_space_group_symop_operation_xyz
'x,y,z'
loop_
_atom_site_label
_atom_site_type_symbol
_atom_site_fract_x
_atom_site_fract_y
_atom_site_fract_z
O1 O 0.9762 0.9912 0.2163
O2 O 0.5238 0.7837 0.0088
O3 O 0.0354 0.6640 0.2669
O4 O 0.8819 0.8046 0.6910
V1 V 0.2500 0.7921 0.2079
O5 O 0.3819 0.6910 0.8046
O6 O 0.9646 0.3360 0.7331
O7 O 0.4646 0.7331 0.3360
As1 As 0.2260 0.8607 0.6562
O8 O 0.5354 0.2669 0.6640
H1 H 0.7500 0.6993 0.3007
V2 V 0.7500 0.2079 0.7921
O9 O 0.0238 0.0088 0.7837
As2 As 0.7260 0.6562 0.8607
As3 As 0.7740 0.1393 0.3438
O10 O 0.6181 0.3090 0.1954
O11 O 0.4762 0.2163 0.9912
O12 O 0.1181 0.1954 0.3090
H2 H 0.2500 0.3007 0.6993
As4 As 0.2740 0.3438 0.1393
```